## Y2PbAu (PBEsol)

Data for a relaxed Y2PbAu crystal.

Cell lengths 3.604, 3.604, 7.581 Å; angles 90.00, 90.00, 90.00 degrees
Space group P4/mmm (No. 123)
Symmetry-distinct sites (fractional):
Y  0.000  0.000  0.226 [2 per cell]
Pb  0.500  0.500  0.500 [1 per cell]
Au  0.500  0.500  0.000 [1 per cell]

Values from the calculation:
The total energy comes out at -6.08 eV/atom. The calculation puts the spin magnetization at 0.0001 μB/atom.



## YPt2Rh (PBEsol)

Data for a relaxed YPt2Rh crystal.

Cell lengths 4.069, 4.069, 8.039 Å; angles 90.00, 90.00, 90.00 degrees
Space group I-4m2 (No. 119)
Symmetry-distinct sites (fractional):
Y  0.000  0.000  0.000 [2 per cell]
Pt  0.000  0.000  0.500 [2 per cell]
Pt  0.000  0.500  0.250 [2 per cell]
Rh  0.000  0.500  0.750 [2 per cell]

Values from the calculation:
The total energy comes out at -7.87 eV/atom. The calculation puts the spin magnetization at 0.0001 μB/atom. The energy above the most stable polymorph in this dataset is 174 meV per atom.



## KRu2Br (PBEsol)

Data for a relaxed KRu2Br crystal.

Cell lengths 3.444, 6.006, 9.761 Å; angles 90.00, 90.00, 90.00 degrees
Space group Imm2 (No. 44)
Symmetry-distinct sites (fractional):
K  0.000  0.000  0.000 [2 per cell]
Ru  0.000  0.000  0.496 [2 per cell]
Ru  0.000  0.500  0.836 [2 per cell]
Br  0.000  0.500  0.197 [2 per cell]

Values from the calculation:
The total energy comes out at -4.95 eV/atom. The calculation puts the spin magnetization at 0.9135 μB/atom. The uncorrected formation energy is 0.885 eV per atom. The energy above the most stable polymorph in this dataset is 491 meV per atom.